1.
YIn2Tc: relaxed, PBE.

Values from the calculation:
SG = P4mm
ΔH_f (0 K) = 0.013 eV/atom
M_tot = 0.00 μB per formula unit

Unit cell a=3.5501 b=3.5501 c=7.1345 alpha=90.00 beta=90.00 gamma=90.00
With the nearest neighbours (Å) after each atom.
Atoms (fractional coordinates):
In 0.5000 0.5000 0.2874  4 Tc 2.84, 1 Y 3.01, 4 In 3.11
In 0.0000 0.0000 0.0303  4 In 3.11, 1 Tc 3.15, 4 Y 3.39
Tc 0.0000 0.0000 0.4724  5 In 2.84-3.15, 4 Y 3.03
Y 0.5000 0.5000 0.7099  1 In 3.01, 4 Tc 3.03


2.
YIn2Tc: relaxed, PBE.

Values from the calculation:
SG = I-42d
ΔH_f (0 K) = 0.307 eV/atom
M_tot = 0.21 μB per formula unit

Unit cell a=4.2436 b=4.2436 c=10.9128 alpha=78.79 beta=78.79 gamma=90.00
With the nearest neighbours (Å) after each atom.
Atoms (fractional coordinates):
Tc 0.0000 0.0000 0.0000  4 In 2.98, 4 Y 3.00
Tc 0.7500 0.2500 0.5000  4 In 2.98, 4 Y 3.00
In 0.3750 0.3480 0.7500  4 In 2.84-3.17, 2 Tc 2.98, 2 Y 3.06
In 0.0980 0.6250 0.2500  4 In 2.84-3.17, 2 Tc 2.98, 2 Y 3.06
Y 0.2500 0.7500 0.5000  4 Tc 3.00, 4 In 3.06
In 0.8750 0.9020 0.7500  4 In 2.84-3.17, 2 Tc 2.98, 2 Y 3.06
In 0.6520 0.1250 0.2500  4 In 2.84-3.17, 2 Tc 2.98, 2 Y 3.06
Y 0.5000 0.5000 0.0000  4 Tc 3.00, 4 In 3.06


3.
Y2InTc: relaxed, PBE.

Values from the calculation:
SG = R-3m
ΔH_f (0 K) = -0.030 eV/atom
M_tot = 0.00 μB per formula unit

Unit cell a=9.6298 b=9.6298 c=9.6298 alpha=20.85 beta=20.85 gamma=20.85
With the nearest neighbours (Å) after each atom.
Atoms (fractional coordinates):
Y 0.0111 0.0111 0.0111  3 Tc 2.87
Y 0.4889 0.4889 0.4889  3 Tc 2.87
In 0.2500 0.2500 0.2500  6 Y 3.34, 6 In 3.49
Tc 0.7500 0.7500 0.7500  6 Y 2.87


4.
YIn2Tc: relaxed, PBE.

Values from the calculation:
SG = Pm
ΔH_f (0 K) = 0.110 eV/atom
M_tot = 0.34 μB per formula unit

Unit cell a=4.5181 b=3.3507 c=5.9070 alpha=78.46 beta=90.00 gamma=90.00
With the nearest neighbours (Å) after each atom.
Atoms (fractional coordinates):
Tc 0.0000 0.5008 0.4646  6 In 2.85-3.17, 2 Y 3.03
In 0.0000 0.1332 0.9914  2 In 2.85, 2 Tc 3.11-3.15, 4 Y 3.11-3.12
In 0.5000 0.1487 0.2850  4 Tc 2.85-3.17, 2 In 2.85, 1 Y 2.88
Y 0.5000 0.7173 0.7589  5 In 2.88-3.12, 2 Tc 3.03


5.
Y4InTc: relaxed, PBE.

Values from the calculation:
SG = C2/c
ΔH_f (0 K) = -0.242 eV/atom
M_tot = 0.00 μB per formula unit

Unit cell a=6.2348 b=7.8277 c=7.8277 alpha=112.10 beta=99.66 gamma=99.66
With the nearest neighbours (Å) after each atom.
Atoms (fractional coordinates):
Y 0.0478 0.9385 0.2750  2 Tc 2.81-2.84
Y 0.3898 0.7974 0.6399  2 Tc 2.97-3.03, 1 In 3.23
Y 0.1102 0.3601 0.2026  2 Tc 2.97-3.03, 1 In 3.23
Y 0.9522 0.0615 0.7250  2 Tc 2.81-2.84
Y 0.4522 0.7250 0.0615  2 Tc 2.81-2.84
Tc 0.2500 0.9994 0.0006  8 Y 2.81-3.03, 2 Tc 3.12
In 0.2500 0.3746 0.6254  8 Y 3.23-3.41
Tc 0.7500 0.0006 0.9994  8 Y 2.81-3.03, 2 Tc 3.12
Y 0.5478 0.2750 0.9385  2 Tc 2.81-2.84
Y 0.8898 0.6399 0.7974  2 Tc 2.97-3.03, 1 In 3.23
Y 0.6102 0.2026 0.3601  2 Tc 2.97-3.03, 1 In 3.23
In 0.7500 0.6254 0.3746  8 Y 3.23-3.41


6.
YInTc4: relaxed, PBE.

Values from the calculation:
SG = F-43m
ΔH_f (0 K) = 0.012 eV/atom
M_tot = 0.00 μB per formula unit

Unit cell a=5.3267 b=5.3267 c=5.3267 alpha=60.00 beta=60.00 gamma=60.00
With the nearest neighbours (Å) after each atom.
Atoms (fractional coordinates):
Tc 0.3741 0.3741 0.8778  6 Tc 2.64-2.68
In 0.0000 0.0000 0.0000  12 Tc 3.12, 4 Y 3.26
Tc 0.3741 0.3741 0.3741  6 Tc 2.64-2.68
Tc 0.3741 0.8778 0.3741  6 Tc 2.64-2.68
Y 0.7500 0.7500 0.7500  12 Tc 3.13, 4 In 3.26
Tc 0.8778 0.3741 0.3741  6 Tc 2.64-2.68


7.
Y8In2Tc: relaxed, PBE.

Values from the calculation:
SG = Immm
ΔH_f (0 K) = -0.212 eV/atom
M_tot = 0.00 μB per formula unit

Unit cell a=5.5436 b=6.9900 c=9.1597 alpha=112.43 beta=107.61 gamma=90.00
With the nearest neighbours (Å) after each atom.
Atoms (fractional coordinates):
Y 0.3745 0.1355 0.7490  1 Tc 2.71
Y 0.0000 0.7565 0.0000  2 Tc 3.25, 8 Y 3.40-3.59, 2 In 3.47
Y 0.6255 0.3865 0.2510  1 Tc 2.71
In 0.8141 0.3141 0.6282  12 Y 3.38-3.53
Y 0.3745 0.6135 0.7490  1 Tc 2.71
Y 0.6255 0.8645 0.2510  1 Tc 2.71
Y 0.0000 0.2435 0.0000  2 Tc 3.25, 8 Y 3.40-3.59, 2 In 3.47
Y 0.1918 0.1918 0.3836  8 Y 3.37-3.51, 4 In 3.39-3.50
Y 0.8082 0.8082 0.6164  8 Y 3.37-3.51, 4 In 3.39-3.50
Tc 0.5000 0.0000 0.0000  4 Y 2.71
In 0.1859 0.6859 0.3718  12 Y 3.38-3.53


8.
Y2InTc: relaxed, PBE.

Values from the calculation:
SG = P4/mmm
ΔH_f (0 K) = -0.229 eV/atom
M_tot = 0.00 μB per formula unit

Unit cell a=3.5808 b=3.5808 c=7.3782 alpha=90.00 beta=90.00 gamma=90.01
With the nearest neighbours (Å) after each atom.
Atoms (fractional coordinates):
Y 0.0000 0.0000 0.5324  4 Tc 3.00, 1 Y 3.21, 4 In 3.28
Tc 0.5000 0.5000 0.7500  8 Y 3.00
In 0.5000 0.5000 0.2500  8 Y 3.28, 4 In 3.58
Y 0.0000 0.0000 0.9676  4 Tc 3.00, 1 Y 3.21, 4 In 3.28


- Look up the M_tot of the fifth one.
  0.00 μB per formula unit